Density functional theory data (PBE-GGA) for a geometry-optimized TbEuAlPd structure.

Cell and atoms, written as extended XYZ:
```
4
Lattice="0.0000 3.6422 3.6422 3.6422 0.0000 3.6422 3.6422 3.6422 0.0000" Properties=species:S:1:pos:R:3 pbc="T T T"
Tb 0.0000 0.0000 0.0000
Eu 3.6422 3.6422 3.6422
Al 5.4633 5.4633 5.4633
Pd 1.8211 1.8211 1.8211
```

Values from the calculation:
Total DFT energy (no corrections) = -25.6 eV/f.u.
Space group = F-43m (216)
ΔH_f (0 K) = -444.3 meV/atom

---

Density functional theory data (PBE-GGA) for a geometry-optimized LiPaI structure.

Cell and atoms, written as extended XYZ:
```
6
Lattice="3.9982 0.0000 0.0000 0.0000 3.9982 0.0000 0.0000 0.0000 11.6141" Properties=species:S:1:pos:R:3 pbc="T T T"
Li 0.9996 0.9996 1.2212
Li 2.9987 2.9987 10.3929
Pa 0.9996 2.9987 5.8071
Pa 2.9987 0.9996 5.8071
I 0.9996 0.9996 9.9428
I 2.9987 2.9987 1.6713
```

Values from the calculation:
Total DFT energy (no corrections) = -13.2 eV/f.u.
Space group = P4/nmm (129)
Uncorrected formation energy = -0.0661 eV per atom

---

Density functional theory data (PBE-GGA) for a geometry-optimized Ac2ScAg2O6 structure.

Cell and atoms, written as extended XYZ:
```
11
Lattice="3.1574 1.8229 5.3590 -3.1574 1.8229 5.3590 0.0000 -3.6458 5.3590" Properties=species:S:1:pos:R:3 pbc="T T T"
Ac 0.0000 0.0000 3.3281
Ac 0.0000 0.0000 12.7488
Sc 0.0000 0.0000 0.0000
Ag 0.0000 0.0000 6.6142
Ag 0.0000 0.0000 9.4628
O -1.8319 -1.0576 9.2479
O 0.0000 -2.1153 6.8290
O -1.8319 1.0576 6.8290
O 1.8319 -1.0576 9.2479
O 0.0000 2.1153 9.2479
O 1.8319 1.0576 6.8291
```

Values from the calculation:
Total DFT energy (no corrections) = -72.1 eV/f.u.
Space group = R-3m (166)
Uncorrected formation energy = -2.0115 eV per atom

---

Density functional theory data (PBE-GGA) for a geometry-optimized Y4Bi2TeP structure.

Cell and atoms, written as extended XYZ:
```
8
Lattice="7.5229 0.0000 0.0000 0.0000 4.3098 0.0000 -2.4634 0.0000 7.1103" Properties=species:S:1:pos:R:3 pbc="T T T"
Y 1.1441 0.0000 1.6150
Y -0.1116 2.1549 5.4241
Y 5.1711 2.1549 1.6862
Y 3.9154 0.0000 5.4952
Bi -1.2317 0.0000 3.5551
Bi 2.5298 2.1549 3.5551
Te 3.7614 0.0000 0.0000
P 0.0000 2.1549 0.0000
```

Values from the calculation:
Total DFT energy (no corrections) = -51.5 eV/f.u.
Space group = P2/m (10)
Uncorrected formation energy = -1.1724 eV per atom

---

Density functional theory data (PBE-GGA) for a geometry-optimized PrDyCBr structure.

Cell and atoms, written as extended XYZ:
```
4
Lattice="1.8727 1.0812 7.3751 -1.8727 1.0812 7.3751 0.0000 -2.1625 7.3751" Properties=species:S:1:pos:R:3 pbc="T T T"
Pr 0.0000 0.0000 0.0000
Dy 0.0000 0.0000 17.4306
C 0.0000 0.0000 8.8614
Br 0.0000 0.0000 4.8915
```

Values from the calculation:
Total DFT energy (no corrections) = -23.9 eV/f.u.
Space group = R3m (160)
Uncorrected formation energy = -0.9065 eV per atom

---

Density functional theory data (PBE-GGA) for a geometry-optimized ZnTc5 structure.

Cell and atoms, written as extended XYZ:
```
6
Lattice="4.3900 0.0000 0.0000 0.0000 1.3923 7.0925 0.0000 -1.3923 7.0925" Properties=species:S:1:pos:R:3 pbc="T T T"
Zn 0.0000 0.0000 0.0000
Tc 0.0000 0.0000 4.6802
Tc 0.0000 0.0000 9.4386
Tc 2.1950 0.0000 3.1735
Tc 2.1950 0.0000 7.8686
Tc 2.1950 0.0000 12.6139
```

Values from the calculation:
Total DFT energy (no corrections) = -52.9 eV/f.u.
Space group = Amm2 (38)
ΔH_f (0 K) = 28.4 meV/atom

---

Density functional theory data (PBE-GGA) for a geometry-optimized Pm2SmP3Rh12 structure.

Cell and atoms, written as extended XYZ:
```
18
Lattice="4.5281 2.6143 4.2842 -4.5281 2.6143 4.2842 0.0000 -5.2286 4.2842" Properties=species:S:1:pos:R:3 pbc="T T T"
Pm 0.0000 0.0000 1.6417
Pm 0.0000 0.0000 11.2110
Sm 0.0000 0.0000 6.4264
P -2.2641 -1.3072 4.2842
P -2.2641 1.3072 8.5685
P 0.0000 2.6143 4.2842
Rh 0.0000 -2.3864 3.6658
Rh -2.0666 1.1932 3.6658
Rh -2.3374 -1.3495 6.5135
Rh 0.0000 -2.6990 6.3393
Rh -2.3374 1.3495 6.3393
Rh -2.0666 -1.1932 9.1869
Rh 2.0666 1.1932 3.6658
Rh 2.3374 -1.3495 6.5135
Rh 0.0000 2.6990 6.5135
Rh 2.3374 1.3495 6.3392
Rh 2.0666 -1.1932 9.1869
Rh 0.0000 2.3864 9.1869
```

Values from the calculation:
Total DFT energy (no corrections) = -124.8 eV/f.u.
Space group = R-3m (166)
ΔH_f (0 K) = -339.7 meV/atom

---

Density functional theory data (PBE-GGA) for a geometry-optimized RhSeBr2O structure.

Cell and atoms, written as extended XYZ:
```
5
Lattice="4.7994 0.0000 0.0000 0.0000 4.7994 0.0000 0.0000 0.0000 4.2599" Properties=species:S:1:pos:R:3 pbc="T T T"
Rh 0.0000 0.0000 0.0000
Se 2.3997 2.3997 0.0000
Br 0.0000 2.3997 2.1300
Br 2.3997 0.0000 2.1300
O 2.3997 2.3997 2.1300
```

Values from the calculation:
Total DFT energy (no corrections) = -14.6 eV/f.u.
Space group = P4/mmm (123)
Uncorrected formation energy = 0.9046 eV per atom

---

Density functional theory data (PBE-GGA) for a geometry-optimized La8Sn5Te structure.

Cell and atoms, written as extended XYZ:
```
14
Lattice="-4.8894 4.8894 4.8879 4.8894 -4.8894 4.8879 4.8894 4.8894 -4.8879" Properties=species:S:1:pos:R:3 pbc="T T T"
La 6.6523 0.6995 -0.5611
La 1.7411 -0.7160 2.9662
La 3.1483 5.6054 -1.9217
La 0.6995 3.1266 0.5611
La 4.1734 3.1483 1.9217
La 4.1899 1.7629 5.4490
La -1.7629 4.1899 4.3268
La 0.7160 1.7411 6.8096
Sn 0.0000 0.0000 0.0000
Sn 3.6575 2.4566 -1.2078
Sn 2.4329 -1.2319 6.0957
Sn 1.2319 2.4329 3.6801
Sn 2.4566 6.1213 1.2078
Te 4.8894 0.0000 2.4440
```

Values from the calculation:
Total DFT energy (no corrections) = -74.9 eV/f.u.
Space group = I-4 (82)
Uncorrected formation energy = -0.8789 eV per atom

---

Density functional theory data (PBE-GGA) for a geometry-optimized LiSc5Pt6 structure.

Cell and atoms, written as extended XYZ:
```
12
Lattice="3.9973 -6.9291 0.0000 3.9973 6.9291 0.0000 -2.6502 0.0000 3.7735" Properties=species:S:1:pos:R:3 pbc="T T T"
Li 0.0000 0.0000 0.0000
Sc 2.6722 4.7159 1.8868
Sc 3.9973 2.3173 0.0000
Sc 2.6722 0.0000 1.8868
Sc 3.9973 -2.3173 0.0000
Sc 2.6722 -4.7159 1.8868
Pt 1.3582 2.3576 0.9580
Pt 0.0534 0.0000 2.8532
Pt 1.3582 -2.3576 0.9580
Pt 3.9862 2.3576 2.8155
Pt 5.2910 0.0000 0.9204
Pt 3.9862 -2.3576 2.8155
```

Values from the calculation:
Total DFT energy (no corrections) = -83.7 eV/f.u.
Space group = C2/m (12)
ΔH_f (0 K) = -1156.8 meV/atom

---

Density functional theory data (PBE-GGA) for a geometry-optimized LiPmAu2 structure.

Cell and atoms, written as extended XYZ:
```
4
Lattice="2.3024 1.3293 4.6873 -2.3024 1.3293 4.6873 0.0000 -2.6586 4.6873" Properties=species:S:1:pos:R:3 pbc="T T T"
Li 0.0000 0.0000 0.0000
Pm 0.0000 0.0000 7.0310
Au 0.0000 0.0000 3.9432
Au 0.0000 0.0000 10.1188
```

Values from the calculation:
Total DFT energy (no corrections) = -16.0 eV/f.u.
Space group = R-3m (166)
ΔH_f (0 K) = -705.7 meV/atom

---

Density functional theory data (PBE-GGA) for a geometry-optimized Pr2AlCd3 structure.

Cell and atoms, written as extended XYZ:
```
12
Lattice="0.0000 4.9345 8.5658 3.6907 0.0000 8.5658 3.6907 4.9345 0.0000" Properties=species:S:1:pos:R:3 pbc="T T T"
Pr 5.5771 4.9345 8.5658
Pr 1.8453 2.4672 4.2829
Pr 5.5360 7.4017 12.8488
Pr 1.8042 4.9345 8.5658
Al 3.6907 4.9345 5.7212
Al 3.6907 4.9345 11.4105
Cd 3.6907 4.9345 2.9088
Cd 3.6907 2.5257 7.1156
Cd 3.6907 2.5257 10.0161
Cd 3.6907 7.3433 7.1156
Cd 3.6907 7.3433 10.0161
Cd 3.6907 4.9345 14.2229
```

Values from the calculation:
Total DFT energy (no corrections) = -18.1 eV/f.u.
Space group = Fmmm (69)
ΔH_f (0 K) = -349.6 meV/atom

---

no.,DOS at the Fermi energy (states/eV/f.u.)
1,6.4
2,4.4
3,10.3
4,2.0
5,2.2
6,5.3
7,18.1
8,5.1
9,12.4
10,6.0
11,2.4
12,5.8